Model w:
Material: LiLaW2O8
Method: DFT, PBE+U
State: optimized geometry

Calculated values
ρ: 6387 kg/m³
space group: P-1 (2)
magnetic moment: 0.000 μB per cell

The structure in POSCAR format:
```
LiLaW2O8
1.0
7.232 0.023 -0.032
-0.148 7.508 0.015
-3.319 -3.150 6.151
Li O W La
2 16 4 2
Direct
0.739 0.335 0.992 Li
0.261 0.665 0.008 Li
0.297 0.994 0.527 O
0.864 0.008 0.197 O
0.386 0.175 0.257 O
0.178 0.645 0.565 O
0.703 0.006 0.473 O
0.964 0.696 0.913 O
0.136 0.992 0.803 O
0.439 0.536 0.242 O
0.614 0.825 0.743 O
0.036 0.304 0.087 O
0.481 0.829 0.007 O
0.561 0.464 0.758 O
0.519 0.171 0.993 O
0.816 0.639 0.192 O
0.822 0.355 0.435 O
0.184 0.361 0.808 O
0.353 0.898 0.721 W
0.744 0.709 0.971 W
0.647 0.102 0.279 W
0.256 0.291 0.029 W
0.189 0.289 0.466 La
0.811 0.711 0.534 La
```

***

Model x:
Material: LiLaW2O8
Method: DFT, PBE+U
State: optimized geometry

Calculated values
ρ: 6383 kg/m³
space group: I-4 (82)
magnetic moment: 0.000 μB per cell

The structure in POSCAR format:
```
LiLaW2O8
1.0
-6.584 1.705 -1.128
-1.559 0.381 -6.705
3.114 -4.732 3.929
O Li W La
8 1 2 1
Direct
0.685 0.575 0.583 O
0.261 0.655 0.089 O
0.828 0.739 0.393 O
0.898 0.315 0.890 O
0.425 0.008 0.110 O
0.566 0.172 0.911 O
0.345 0.434 0.607 O
0.992 0.102 0.417 O
0.250 0.750 0.500 Li
0.500 0.500 0.000 W
0.750 0.250 0.500 W
0.000 0.000 0.000 La
```

***

If you had to bet on the most stable structure above, which would it be? Bet on model w.